Entry 1:
VASP calculation (GGA-PBE) on an optimized crystal structure of Nd2Er2Sb5.

```
data_Nd2Er2Sb5
_cell_length_a 15.980
_cell_length_b 8.072
_cell_length_c 8.262
_cell_angle_alpha 90.00
_cell_angle_beta 90.00
_cell_angle_gamma 90.00
_symmetry_space_group_name_H-M 'C m c e'
_symmetry_Int_Tables_number 64
_symmetry_space_group_name_Hall '-C 2ac 2'
loop_
_atom_site_label
_atom_site_type_symbol
_atom_site_fract_x
_atom_site_fract_y
_atom_site_fract_z
Nd1 Nd 0.192 0.000 0.000
Er1 Er 0.000 0.156 0.339
Sb1 Sb 0.000 0.000 0.000
Sb2 Sb 0.135 0.144 0.644
```

## Properties
DOS(E_F) in states/eV per cell: 27.35
E in eV/cell: -188.10
Uncorrected formation energy in eV per atom: -0.8612
Total magnetic moment in Bohr magnetons per cell: 0.000
Crystal system: orthorhombic

***

Entry 2:
VASP calculation (GGA-PBE) on an optimized crystal structure of PmPrIrRu.

```
data_PmPrIrRu
_cell_length_a 7.066
_cell_length_b 7.066
_cell_length_c 7.066
_cell_angle_alpha 90.00
_cell_angle_beta 90.00
_cell_angle_gamma 90.00
_symmetry_space_group_name_H-M 'F -4 3 m'
_symmetry_Int_Tables_number 216
_symmetry_space_group_name_Hall 'F -4 2 3'
loop_
_atom_site_label
_atom_site_type_symbol
_atom_site_fract_x
_atom_site_fract_y
_atom_site_fract_z
Pm1 Pm 0.000 0.000 0.000
Pr1 Pr 0.000 0.000 0.500
Ir1 Ir 0.250 0.250 0.750
Ru1 Ru 0.250 0.250 0.250
```

## Properties
DOS(E_F) in states/eV per cell: 12.63
E in eV/cell: -115.59
Formation energy in meV/atom: -307
Total magnetic moment in Bohr magnetons per cell: 0.000
Crystal system: cubic

***

Entry 3:
VASP calculation (GGA-PBE) on an optimized crystal structure of La2Pm9Tm.

```
data_La2Pm9Tm
_cell_length_a 11.5581
_cell_length_b 11.5581
_cell_length_c 3.5526
_cell_angle_alpha 90.00
_cell_angle_beta 90.00
_cell_angle_gamma 120.00
_symmetry_space_group_name_H-M 'P 6/m m m'
_symmetry_Int_Tables_number 191
_symmetry_space_group_name_Hall '-P 6 2'
loop_
_atom_site_label
_atom_site_type_symbol
_atom_site_fract_x
_atom_site_fract_y
_atom_site_fract_z
La1 La 0.3333 0.6667 0.0000
Pm1 Pm 0.0000 0.5000 0.0000
Pm2 Pm 0.1695 0.3389 0.5000
Tm1 Tm 0.0000 0.0000 0.0000
```

## Properties
DOS(E_F) in states/eV per cell: 17.48
E in eV/cell: -56.34
Formation energy in meV/atom: 61
Total magnetic moment in Bohr magnetons per cell: 0.000
Crystal system: hexagonal
ΔE to the lowest computed polymorph in meV per atom: 42

***

Entry 4:
VASP calculation (GGA-PBE) on an optimized crystal structure of NaSr12Zn6.

```
data_NaSr12Zn6
_cell_length_a 11.497
_cell_length_b 11.497
_cell_length_c 11.497
_cell_angle_alpha 90.00
_cell_angle_beta 90.00
_cell_angle_gamma 90.00
_symmetry_space_group_name_H-M 'I m -3'
_symmetry_Int_Tables_number 204
_symmetry_space_group_name_Hall '-I 2 2 3'
loop_
_atom_site_label
_atom_site_type_symbol
_atom_site_fract_x
_atom_site_fract_y
_atom_site_fract_z
Na1 Na 0.000 0.000 0.000
Sr1 Sr 0.000 0.189 0.303
Zn1 Zn 0.000 0.388 0.500
```

## Properties
DOS(E_F) in states/eV per cell: 37.14
E in eV/cell: -62.50
Formation energy in meV/atom: -111
Total magnetic moment in Bohr magnetons per cell: 0.002
Crystal system: cubic

***

Entry 5:
VASP calculation (GGA-PBE) on an optimized crystal structure of YPdS2.

```
data_YPdS2
_cell_length_a 6.609
_cell_length_b 6.609
_cell_length_c 6.609
_cell_angle_alpha 90.00
_cell_angle_beta 90.00
_cell_angle_gamma 90.00
_symmetry_space_group_name_H-M 'F m -3 m'
_symmetry_Int_Tables_number 225
_symmetry_space_group_name_Hall '-F 4 2 3'
loop_
_atom_site_label
_atom_site_type_symbol
_atom_site_fract_x
_atom_site_fract_y
_atom_site_fract_z
Y1 Y 0.000 0.000 0.000
Pd1 Pd 0.000 0.000 0.500
S1 S 0.250 0.250 0.250
```

## Properties
DOS(E_F) in states/eV per cell: 29.29
E in eV/cell: -95.83
Uncorrected formation energy in eV per atom: -1.0112
Total magnetic moment in Bohr magnetons per cell: 0.002
Crystal system: cubic
ΔE to the lowest computed polymorph in meV per atom: 61

***

Entry 6:
VASP calculation (GGA-PBE) on an optimized crystal structure of TaCdTc2.

```
data_TaCdTc2
_cell_length_a 5.794
_cell_length_b 9.091
_cell_length_c 2.749
_cell_angle_alpha 90.00
_cell_angle_beta 113.30
_cell_angle_gamma 90.00
_symmetry_space_group_name_H-M 'C 1 2/m 1'
_symmetry_Int_Tables_number 12
loop_
_symmetry_equiv_pos_as_xyz
'x,y,z'
'-x,-y,-z'
'-x,y,-z'
'x,-y,z'
'x+1/2,y+1/2,z'
'-x+1/2,-y+1/2,-z'
'-x+1/2,y+1/2,-z'
'x+1/2,-y+1/2,z'
loop_
_atom_site_label
_atom_site_type_symbol
_atom_site_fract_x
_atom_site_fract_y
_atom_site_fract_z
Ta1 Ta 0.000 0.000 0.000
Cd1 Cd 0.000 0.500 0.000
Tc1 Tc 0.250 0.250 0.500
```

## Properties
DOS(E_F) in states/eV per cell: 7.90
E in eV/cell: -64.60
Formation energy in meV/atom: 301
Total magnetic moment in Bohr magnetons per cell: 0.003
Crystal system: monoclinic

***

Entry 7:
VASP calculation (GGA-PBE) on an optimized crystal structure of HgIr2W.

```
data_HgIr2W
_cell_length_a 2.8634
_cell_length_b 2.8634
_cell_length_c 27.8934
_cell_angle_alpha 90.00
_cell_angle_beta 90.00
_cell_angle_gamma 120.00
_symmetry_space_group_name_H-M 'R -3 m'
_symmetry_Int_Tables_number 166
_symmetry_space_group_name_Hall '-R 3 2"'
loop_
_atom_site_label
_atom_site_type_symbol
_atom_site_fract_x
_atom_site_fract_y
_atom_site_fract_z
Hg1 Hg 0.0000 0.0000 0.0000
Ir1 Ir 0.0000 0.0000 0.2424
W1 W 0.0000 0.0000 0.5000
```

## Properties
DOS(E_F) in states/eV per cell: 9.82
E in eV/cell: -91.93
Formation energy in meV/atom: 84
Total magnetic moment in Bohr magnetons per cell: 0.000
Crystal system: trigonal

***

Entry 8:
VASP calculation (GGA-PBE) on an optimized crystal structure of Ca9AcNd4.

```
data_Ca9AcNd4
_cell_length_a 10.6337
_cell_length_b 10.6337
_cell_length_c 11.9430
_cell_angle_alpha 90.00
_cell_angle_beta 90.00
_cell_angle_gamma 120.00
_symmetry_space_group_name_H-M 'P 63/m m c'
_symmetry_Int_Tables_number 194
_symmetry_space_group_name_Hall '-P 6c 2c'
loop_
_atom_site_label
_atom_site_type_symbol
_atom_site_fract_x
_atom_site_fract_y
_atom_site_fract_z
Ca1 Ca 0.0800 0.5400 0.2500
Ca2 Ca 0.2027 0.4054 0.5308
Ac1 Ac 0.3333 0.6667 0.7500
Nd1 Nd 0.0000 0.0000 0.0000
Nd2 Nd 0.1046 0.2092 0.2500
```

## Properties
DOS(E_F) in states/eV per cell: 42.14
E in eV/cell: -77.57
Formation energy in meV/atom: 172
Total magnetic moment in Bohr magnetons per cell: 3.851
Crystal system: hexagonal

***

Entry 9:
VASP calculation (GGA-PBE) on an optimized crystal structure of AgSbPtO6.

```
data_AgSbPtO6
_cell_length_a 5.3141
_cell_length_b 5.3141
_cell_length_c 9.4863
_cell_angle_alpha 90.00
_cell_angle_beta 90.00
_cell_angle_gamma 120.00
_symmetry_space_group_name_H-M 'P -3 1 c'
_symmetry_Int_Tables_number 163
_symmetry_space_group_name_Hall '-P 3 2c'
loop_
_atom_site_label
_atom_site_type_symbol
_atom_site_fract_x
_atom_site_fract_y
_atom_site_fract_z
Ag1 Ag 0.0000 0.0000 0.0000
Sb1 Sb 0.3333 0.6667 0.2500
Pt1 Pt 0.3333 0.6667 0.7500
O1 O 0.0049 0.3705 0.6337
```

## Properties
DOS(E_F) in states/eV per cell: 12.85
E in eV/cell: -97.33
Uncorrected formation energy in eV per atom: -0.6557
Total magnetic moment in Bohr magnetons per cell: 0.000
Crystal system: trigonal

***

Entry 10:
VASP calculation (GGA-PBE) on an optimized crystal structure of CrHg2I.

```
data_CrHg2I
_cell_length_a 4.023
_cell_length_b 7.094
_cell_length_c 9.740
_cell_angle_alpha 70.45
_cell_angle_beta 89.00
_cell_angle_gamma 73.84
_symmetry_space_group_name_H-M 'P 1'
_symmetry_Int_Tables_number 1
loop_
_symmetry_equiv_pos_as_xyz
'x,y,z'
loop_
_atom_site_label
_atom_site_type_symbol
_atom_site_fract_x
_atom_site_fract_y
_atom_site_fract_z
Cr1 Cr 0.000 0.000 0.000
Cr2 Cr 0.242 0.492 0.218
Hg1 Hg 0.116 0.819 0.600
Hg2 Hg 0.468 0.089 0.746
Hg3 Hg 0.653 0.688 0.014
Hg4 Hg 0.801 0.442 0.804
I1 I 0.438 0.109 0.167
I2 I 0.760 0.436 0.421
```

## Properties
DOS(E_F) in states/eV per cell: 3.27
E in eV/cell: -22.42
Uncorrected formation energy in eV per atom: 0.1422
Total magnetic moment in Bohr magnetons per cell: 9.243
Crystal system: triclinic
ΔE to the lowest computed polymorph in meV per atom: 20

***

Entry 11:
VASP calculation (GGA-PBE) on an optimized crystal structure of TaVSe4.

```
data_TaVSe4
_cell_length_a 8.245
_cell_length_b 14.538
_cell_length_c 5.862
_cell_angle_alpha 90.00
_cell_angle_beta 134.07
_cell_angle_gamma 90.00
_symmetry_space_group_name_H-M 'C 1 2/c 1'
_symmetry_Int_Tables_number 15
loop_
_symmetry_equiv_pos_as_xyz
'x,y,z'
'-x,-y,-z'
'-x,y,-z+1/2'
'x,-y,z+1/2'
'x+1/2,y+1/2,z'
'-x+1/2,-y+1/2,-z'
'-x+1/2,y+1/2,-z+1/2'
'x+1/2,-y+1/2,z+1/2'
loop_
_atom_site_label
_atom_site_type_symbol
_atom_site_fract_x
_atom_site_fract_y
_atom_site_fract_z
Ta1 Ta 0.000 0.051 0.250
V1 V 0.000 0.299 0.750
Se1 Se 0.183 0.194 0.212
Se2 Se 0.214 0.441 0.144
```

## Properties
DOS(E_F) in states/eV per cell: 11.73
E in eV/cell: -153.43
Uncorrected formation energy in eV per atom: -0.5747
Total magnetic moment in Bohr magnetons per cell: 6.105
Crystal system: monoclinic
ΔE to the lowest computed polymorph in meV per atom: 183

***

Entry 12:
VASP calculation (GGA-PBE) on an optimized crystal structure of HoNpPd.

```
data_HoNpPd
_cell_length_a 5.799
_cell_length_b 5.261
_cell_length_c 9.347
_cell_angle_alpha 90.00
_cell_angle_beta 107.86
_cell_angle_gamma 90.00
_symmetry_space_group_name_H-M 'C 1 2/m 1'
_symmetry_Int_Tables_number 12
loop_
_symmetry_equiv_pos_as_xyz
'x,y,z'
'-x,-y,-z'
'-x,y,-z'
'x,-y,z'
'x+1/2,y+1/2,z'
'-x+1/2,-y+1/2,-z'
'-x+1/2,y+1/2,-z'
'x+1/2,-y+1/2,z'
loop_
_atom_site_label
_atom_site_type_symbol
_atom_site_fract_x
_atom_site_fract_y
_atom_site_fract_z
Ho1 Ho 0.184 0.000 0.367
Np1 Np 0.214 0.000 0.028
Pd1 Pd 0.161 0.500 0.282
```

## Properties
DOS(E_F) in states/eV per cell: 15.64
E in eV/cell: -93.74
Formation energy in meV/atom: -242
Total magnetic moment in Bohr magnetons per cell: 10.603
Crystal system: monoclinic

***

> Which formula does entry 3 have?

La2Pm9Tm

***

Please write out number 7 again, unchanged.
VASP calculation (GGA-PBE) on an optimized crystal structure of HgIr2W.

```
data_HgIr2W
_cell_length_a 2.8634
_cell_length_b 2.8634
_cell_length_c 27.8934
_cell_angle_alpha 90.00
_cell_angle_beta 90.00
_cell_angle_gamma 120.00
_symmetry_space_group_name_H-M 'R -3 m'
_symmetry_Int_Tables_number 166
_symmetry_space_group_name_Hall '-R 3 2"'
loop_
_atom_site_label
_atom_site_type_symbol
_atom_site_fract_x
_atom_site_fract_y
_atom_site_fract_z
Hg1 Hg 0.0000 0.0000 0.0000
Ir1 Ir 0.0000 0.0000 0.2424
W1 W 0.0000 0.0000 0.5000
```

## Properties
DOS(E_F) in states/eV per cell: 9.82
E in eV/cell: -91.93
Formation energy in meV/atom: 84
Total magnetic moment in Bohr magnetons per cell: 0.000
Crystal system: trigonal

***

> Look up the DOS(E_F) of the second one.

12.63 states/eV per cell

***

> The highest DOS(E_F) belongs to which entry?

Ca9AcNd4